[1]
# Hf2SiHg2, optimized geometry, DFT GGA-PBE
# Uncorrected formation energy ... -2 kJ per mole of atoms
# Density of states at the Fermi level ... 7.514 states/eV/cell
# Symmetry ... No. 127
# E ... -5.20 eV per atom
data_Hf2SiHg2
_chemical_formula_sum 'Hf4 Si2 Hg4'
_cell_length_a 6.982
_cell_length_b 6.982
_cell_length_c 4.520
_cell_angle_alpha 90.00
_cell_angle_beta 90.00
_cell_angle_gamma 90.00
_space_group_name_H-M_alt 'P 1'
_space_group_IT_number 1
loop_
_space_group_symop_operation_xyz
'x,y,z'
loop_
_atom_site_label
_atom_site_type_symbol
_atom_site_fract_x
_atom_site_fract_y
_atom_site_fract_z
Hf1 Hf 0.160 0.340 0.000
Hf2 Hf 0.340 0.840 0.000
Hf3 Hf 0.660 0.160 0.000
Hf4 Hf 0.840 0.660 0.000
Si1 Si 0.000 0.000 0.000
Si2 Si 0.500 0.500 0.000
Hg1 Hg 0.149 0.649 0.500
Hg2 Hg 0.351 0.149 0.500
Hg3 Hg 0.649 0.851 0.500
Hg4 Hg 0.851 0.351 0.500


[2]
# Ba3Sr3Tl2In, optimized geometry, DFT GGA-PBE
# Density of states at the Fermi level ... 10.509 states/eV/cell
# Calculated formation energy ... -0.2580 eV/atom
# Symmetry ... No. 189
# E ... -2.29 eV per atom
data_Ba3Sr3Tl2In
_chemical_formula_sum 'Ba3 Sr3 Tl2 In1'
_cell_length_a 9.912
_cell_length_b 9.912
_cell_length_c 4.647
_cell_angle_alpha 90.00
_cell_angle_beta 90.00
_cell_angle_gamma 120.00
_space_group_name_H-M_alt 'P 1'
_space_group_IT_number 1
loop_
_space_group_symop_operation_xyz
'x,y,z'
loop_
_atom_site_label
_atom_site_type_symbol
_atom_site_fract_x
_atom_site_fract_y
_atom_site_fract_z
Ba1 Ba 0.000 0.732 0.000
Ba2 Ba 0.268 0.268 0.000
Ba3 Ba 0.732 0.000 0.000
Sr1 Sr 0.000 0.398 0.500
Sr2 Sr 0.398 0.000 0.500
Sr3 Sr 0.602 0.602 0.500
Tl1 Tl 0.333 0.667 0.000
Tl2 Tl 0.667 0.333 0.000
In1 In 0.000 0.000 0.500


[3]
# Cd2InHg, optimized geometry, DFT GGA-PBE
# Offset from the most stable computed form ... 0.039 eV/f.u.
# Density of states at the Fermi level ... 1.902 states/eV/cell
# Calculated formation energy ... 0.0287 eV/atom
# Symmetry ... No. 139
# E ... -1.19 eV per atom
data_Cd2InHg
_chemical_formula_sum 'Cd2 In1 Hg1'
_cell_length_a 5.639
_cell_length_b 5.639
_cell_length_c 5.639
_cell_angle_alpha 131.83
_cell_angle_beta 131.83
_cell_angle_gamma 70.50
_space_group_name_H-M_alt 'P 1'
_space_group_IT_number 1
loop_
_space_group_symop_operation_xyz
'x,y,z'
loop_
_atom_site_label
_atom_site_type_symbol
_atom_site_fract_x
_atom_site_fract_y
_atom_site_fract_z
Cd1 Cd 0.250 0.750 0.500
Cd2 Cd 0.750 0.250 0.500
In1 In 0.000 0.000 0.000
Hg1 Hg 0.500 0.500 0.000


[4]
# CdFePt2, optimized geometry, DFT GGA-PBE
# Density of states at the Fermi level ... 3.040 states/eV/cell
# Calculated formation energy ... -0.1071 eV/atom
# Symmetry ... No. 119
# E ... -5.47 eV per atom
data_CdFePt2
_chemical_formula_sum 'Cd1 Fe1 Pt2'
_cell_length_a 4.963
_cell_length_b 4.963
_cell_length_c 4.963
_cell_angle_alpha 133.24
_cell_angle_beta 133.24
_cell_angle_gamma 68.28
_space_group_name_H-M_alt 'P 1'
_space_group_IT_number 1
loop_
_space_group_symop_operation_xyz
'x,y,z'
loop_
_atom_site_label
_atom_site_type_symbol
_atom_site_fract_x
_atom_site_fract_y
_atom_site_fract_z
Cd1 Cd 0.000 0.000 0.000
Fe1 Fe 0.750 0.250 0.500
Pt1 Pt 0.250 0.750 0.500
Pt2 Pt 0.500 0.500 0.000


[5]
# TlNiHg2, optimized geometry, DFT GGA-PBE
# Offset from the most stable computed form ... 0.298 eV/f.u.
# Density of states at the Fermi level ... 2.152 states/eV/cell
# Calculated formation energy ... 0.2158 eV/atom
# Symmetry ... No. 10
# E ... -1.97 eV per atom
data_TlNiHg2
_chemical_formula_sum 'Tl1 Ni1 Hg2'
_cell_length_a 5.175
_cell_length_b 4.008
_cell_length_c 5.512
_cell_angle_alpha 90.00
_cell_angle_beta 117.56
_cell_angle_gamma 90.00
_space_group_name_H-M_alt 'P 1'
_space_group_IT_number 1
loop_
_space_group_symop_operation_xyz
'x,y,z'
loop_
_atom_site_label
_atom_site_type_symbol
_atom_site_fract_x
_atom_site_fract_y
_atom_site_fract_z
Tl1 Tl 0.000 0.000 0.000
Ni1 Ni 0.500 0.000 0.000
Hg1 Hg 0.325 0.500 0.653
Hg2 Hg 0.675 0.500 0.347


[6]
# Nd2Ni3Sb4Ir, optimized geometry, DFT GGA-PBE
# Uncorrected formation energy ... -59 kJ per mole of atoms
# Density of states at the Fermi level ... 5.882 states/eV/cell
# Symmetry ... No. 115
# E ... -5.83 eV per atom
data_Nd2Ni3Sb4Ir
_chemical_formula_sum 'Nd2 Ni3 Sb4 Ir1'
_cell_length_a 4.507
_cell_length_b 4.507
_cell_length_c 10.154
_cell_angle_alpha 90.00
_cell_angle_beta 90.00
_cell_angle_gamma 90.00
_space_group_name_H-M_alt 'P 1'
_space_group_IT_number 1
loop_
_space_group_symop_operation_xyz
'x,y,z'
loop_
_atom_site_label
_atom_site_type_symbol
_atom_site_fract_x
_atom_site_fract_y
_atom_site_fract_z
Nd1 Nd 0.000 0.500 0.242
Nd2 Nd 0.500 0.000 0.758
Ni1 Ni 0.000 0.000 0.000
Ni2 Ni 0.000 0.500 0.621
Ni3 Ni 0.500 0.000 0.379
Sb1 Sb 0.000 0.000 0.500
Sb2 Sb 0.000 0.500 0.866
Sb3 Sb 0.500 0.000 0.134
Sb4 Sb 0.500 0.500 0.500
Ir1 Ir 0.500 0.500 0.000


[7]
# Tl3Cu2PbBr9, optimized geometry, DFT GGA-PBE
# Uncorrected formation energy ... -56 kJ per mole of atoms
# Density of states at the Fermi level ... 7.480 states/eV/cell
# Symmetry ... No. 164
# E ... -2.85 eV per atom
data_Tl3Cu2PbBr9
_chemical_formula_sum 'Tl3 Cu2 Pb1 Br9'
_cell_length_a 7.552
_cell_length_b 7.552
_cell_length_c 9.591
_cell_angle_alpha 90.00
_cell_angle_beta 90.00
_cell_angle_gamma 120.00
_space_group_name_H-M_alt 'P 1'
_space_group_IT_number 1
loop_
_space_group_symop_operation_xyz
'x,y,z'
loop_
_atom_site_label
_atom_site_type_symbol
_atom_site_fract_x
_atom_site_fract_y
_atom_site_fract_z
Tl1 Tl 0.000 0.000 0.000
Tl2 Tl 0.333 0.667 0.727
Tl3 Tl 0.667 0.333 0.273
Cu1 Cu 0.333 0.667 0.157
Cu2 Cu 0.667 0.333 0.843
Pb1 Pb 0.000 0.000 0.500
Br1 Br 0.000 0.500 0.000
Br2 Br 0.173 0.346 0.310
Br3 Br 0.173 0.827 0.310
Br4 Br 0.346 0.173 0.690
Br5 Br 0.500 0.000 0.000
Br6 Br 0.500 0.500 0.000
Br7 Br 0.654 0.827 0.310
Br8 Br 0.827 0.173 0.690
Br9 Br 0.827 0.654 0.690


[8]
# AlPtO2, optimized geometry, DFT GGA-PBE
# Uncorrected formation energy ... -50 kJ per mole of atoms
# Density of states at the Fermi level ... 1.612 states/eV/cell
# Symmetry ... No. 123
# E ... -5.45 eV per atom
data_AlPtO2
_chemical_formula_sum 'Al1 Pt1 O2'
_cell_length_a 3.234
_cell_length_b 3.234
_cell_length_c 4.457
_cell_angle_alpha 90.00
_cell_angle_beta 90.00
_cell_angle_gamma 90.00
_space_group_name_H-M_alt 'P 1'
_space_group_IT_number 1
loop_
_space_group_symop_operation_xyz
'x,y,z'
loop_
_atom_site_label
_atom_site_type_symbol
_atom_site_fract_x
_atom_site_fract_y
_atom_site_fract_z
Al1 Al 0.000 0.000 0.000
Pt1 Pt 0.500 0.500 0.500
O1 O 0.000 0.000 0.500
O2 O 0.500 0.500 0.000


[9]
# UZnInN, optimized geometry, DFT GGA-PBE
# Uncorrected formation energy ... -51 kJ per mole of atoms
# Density of states at the Fermi level ... 11.589 states/eV/cell
# Symmetry ... No. 129
# E ... -6.44 eV per atom
data_UZnInN
_chemical_formula_sum 'U2 Zn2 In2 N2'
_cell_length_a 4.146
_cell_length_b 4.146
_cell_length_c 8.275
_cell_angle_alpha 90.00
_cell_angle_beta 90.00
_cell_angle_gamma 90.00
_space_group_name_H-M_alt 'P 1'
_space_group_IT_number 1
loop_
_space_group_symop_operation_xyz
'x,y,z'
loop_
_atom_site_label
_atom_site_type_symbol
_atom_site_fract_x
_atom_site_fract_y
_atom_site_fract_z
U1 U 0.250 0.250 0.120
U2 U 0.750 0.750 0.880
Zn1 Zn 0.250 0.250 0.727
Zn2 Zn 0.750 0.750 0.273
In1 In 0.250 0.750 0.500
In2 In 0.750 0.250 0.500
N1 N 0.250 0.750 0.000
N2 N 0.750 0.250 0.000


[10]
# La2ScAs, optimized geometry, DFT GGA-PBE
# Density of states at the Fermi level ... 2.292 states/eV/cell
# Calculated formation energy ... -0.5217 eV/atom
# Symmetry ... No. 166
# E ... -5.73 eV per atom
data_La2ScAs
_chemical_formula_sum 'La2 Sc1 As1'
_cell_length_a 9.066
_cell_length_b 9.066
_cell_length_c 9.066
_cell_angle_alpha 25.98
_cell_angle_beta 25.98
_cell_angle_gamma 25.98
_space_group_name_H-M_alt 'P 1'
_space_group_IT_number 1
loop_
_space_group_symop_operation_xyz
'x,y,z'
loop_
_atom_site_label
_atom_site_type_symbol
_atom_site_fract_x
_atom_site_fract_y
_atom_site_fract_z
La1 La 0.237 0.237 0.237
La2 La 0.763 0.763 0.763
Sc1 Sc 0.000 0.000 0.000
As1 As 0.500 0.500 0.500


[11]
# Ti2MoHPd, optimized geometry, DFT GGA-PBE
# Offset from the most stable computed form ... 0.144 eV/f.u.
# Density of states at the Fermi level ... 3.304 states/eV/cell
# Symmetry ... No. 123
# E ... -7.31 eV per atom
data_Ti2MoHPd
_chemical_formula_sum 'Ti2 Mo1 H1 Pd1'
_cell_length_a 4.342
_cell_length_b 4.342
_cell_length_c 3.479
_cell_angle_alpha 90.00
_cell_angle_beta 90.00
_cell_angle_gamma 90.00
_space_group_name_H-M_alt 'P 1'
_space_group_IT_number 1
loop_
_space_group_symop_operation_xyz
'x,y,z'
loop_
_atom_site_label
_atom_site_type_symbol
_atom_site_fract_x
_atom_site_fract_y
_atom_site_fract_z
Ti1 Ti 0.000 0.500 0.000
Ti2 Ti 0.500 0.000 0.000
Mo1 Mo 0.000 0.000 0.500
H1 H 0.500 0.500 0.000
Pd1 Pd 0.500 0.500 0.500


[12]
# Tb3Nd5Y, optimized geometry, DFT GGA-PBE
# Offset from the most stable computed form ... 2.801 eV/f.u.
# Density of states at the Fermi level ... 28.372 states/eV/cell
# Calculated formation energy ... 0.4780 eV/atom
# Symmetry ... No. 12
# E ... -4.43 eV per atom
data_Tb3Nd5Y
_chemical_formula_sum 'Tb6 Nd10 Y2'
_cell_length_a 9.668
_cell_length_b 9.668
_cell_length_c 9.930
_cell_angle_alpha 120.39
_cell_angle_beta 120.39
_cell_angle_gamma 74.83
_space_group_name_H-M_alt 'P 1'
_space_group_IT_number 1
loop_
_space_group_symop_operation_xyz
'x,y,z'
loop_
_atom_site_label
_atom_site_type_symbol
_atom_site_fract_x
_atom_site_fract_y
_atom_site_fract_z
Tb1 Tb 0.000 0.000 0.000
Tb2 Tb 0.007 0.007 0.324
Tb3 Tb 0.486 0.486 0.148
Tb4 Tb 0.500 0.500 0.500
Tb5 Tb 0.514 0.514 0.852
Tb6 Tb 0.993 0.993 0.676
Nd1 Nd 0.102 0.607 0.762
Nd2 Nd 0.228 0.228 0.734
Nd3 Nd 0.247 0.753 0.500
Nd4 Nd 0.274 0.274 0.452
Nd5 Nd 0.393 0.898 0.238
Nd6 Nd 0.607 0.102 0.762
Nd7 Nd 0.726 0.726 0.548
Nd8 Nd 0.753 0.247 0.500
Nd9 Nd 0.772 0.772 0.266
Nd10 Nd 0.898 0.393 0.238
Y1 Y 0.249 0.249 0.091
Y2 Y 0.751 0.751 0.909


| no. | total magnetic moment (μB per atom) |
| --- | --- |
| 1 | 0.0000 |
| 2 | 0.0000 |
| 3 | 0.0000 |
| 4 | 0.8837 |
| 5 | 0.0000 |
| 6 | 0.0000 |
| 7 | 0.0000 |
| 8 | 0.0000 |
| 9 | 0.3027 |
| 10 | 0.0000 |
| 11 | 0.0000 |
| 12 | 0.0000 |